Computed, not measured: KUGaO5 after structural relaxation at the GGA-PBE level of DFT.

Summary:
Crystal system: monoclinic
Uncorrected formation energy in meV per atom: -2521
Magnetic moment in μB/cell: 0.00

abc: 6.1124 6.1124 8.0847
angles: 105.54 105.54 104.96
Element x y z (fractional)
K 0.3315 0.6685 0.2500
K 0.6685 0.3315 0.7500
U 0.0000 0.0000 0.5000
U 0.0000 0.0000 0.0000
Ga 0.6882 0.3118 0.2500
Ga 0.3118 0.6882 0.7500
O 0.0611 0.9389 0.2500
O 0.9389 0.0611 0.7500
O 0.8846 0.2822 0.1088
O 0.1154 0.7178 0.8912
O 0.7178 0.1154 0.3912
O 0.2822 0.8846 0.6088
O 0.7737 0.6387 0.3953
O 0.2263 0.3613 0.6047
O 0.3613 0.2263 0.1047
O 0.6387 0.7737 0.8953